Here is a relaxed La6ZnCo2 crystal from Alexandria. Energies are from PBE.

abc: 6.8494 6.8494 9.6052
angles: 125.63 125.63 46.12
Last column: nearest neighbours and their distance in Å.
Fractional coordinates of all 9 atoms:
La  0.0097  0.0097  0.1670  1 La 3.06, 1 Co 3.16, 1 Zn 3.28
La  0.2899  0.2899  0.8802  3 Co 2.81-2.98, 1 Zn 3.13
La  0.3676  0.3676  0.5050  1 Co 2.50
La  0.6324  0.6324  0.4950  1 Co 2.50
La  0.7101  0.7101  0.1198  3 Co 2.81-2.98, 1 Zn 3.13
La  0.9903  0.9903  0.8330  1 La 3.06, 1 Co 3.16, 1 Zn 3.28
Zn  0.0000  0.0000  0.5000  8 La 3.13-3.28
Co  0.2961  0.2961  0.1958  1 La 2.50
Co  0.7039  0.7039  0.8042  1 La 2.50

E in eV per formula unit: -45.69
Crystal system: monoclinic
Total magnetization in μB per cell: 0.0
Density of states at the Fermi level in states/eV/atom: 0.8847
Energy of formation in eV per atom: -0.071
Excess energy over the best structure of this formula in the dataset in kJ/mol of atoms: 8.5